# 1
Density functional theory data (PBE) for Nd3BeSi2Pt9 after structural relaxation.

abc: 6.352 6.352 8.382
angles: 90.00 90.00 120.00
Fractional positions:
Si  0.667  0.333  0.809
Pt  0.500  0.000  0.000
Pt  0.856  0.144  0.694
Pt  0.500  0.500  0.000
Pt  0.000  0.500  0.000
Pt  0.856  0.712  0.694
Nd  0.333  0.667  0.647
Pt  0.288  0.144  0.694
Pt  0.144  0.288  0.306
Be  0.000  0.000  0.500
Pt  0.712  0.856  0.306
Nd  0.000  0.000  0.000
Nd  0.667  0.333  0.353
Pt  0.144  0.856  0.306
Si  0.333  0.667  0.191

## Properties
Energy relative to the elements, uncorrected   -0.77 eV/atom
SG   P-3m1 (164)
Total magnetization   0.00 μB/f.u.


# 2
Density functional theory data (PBE) for Th2BeAs after structural relaxation.

abc: 3.865 3.865 9.932
angles: 78.78 78.78 60.00
Fractional positions:
Th  0.102  0.102  0.693
Th  0.898  0.898  0.307
As  0.500  0.500  0.500
Be  0.000  0.000  0.000

## Properties
E_form   0.3526 eV per atom
SG   R-3m (166)
Total magnetization   0.00 μB/f.u.


# 3
Density functional theory data (PBE) for AcSeS after structural relaxation.

abc: 4.249 4.249 9.280
angles: 103.23 103.23 90.00
Fractional positions:
Se  0.500  0.000  0.000
Ac  0.357  0.357  0.714
S  0.816  0.816  0.632
Ac  0.643  0.643  0.286
S  0.184  0.184  0.368
Se  0.000  0.500  0.000

## Properties
Energy relative to the elements, uncorrected   -1.80 eV/atom
SG   I4/mmm (139)
Total magnetization   0.00 μB/f.u.


# 4
Density functional theory data (PBE) for AcSnBiSe after structural relaxation.

abc: 5.520 5.520 8.470
angles: 90.00 90.00 90.00
Fractional positions:
Se  0.000  0.000  0.500
Bi  0.500  0.000  0.171
Ac  0.500  0.000  0.671
Sn  0.000  0.000  0.000
Sn  0.500  0.500  0.000
Ac  0.000  0.500  0.329
Se  0.500  0.500  0.500
Bi  0.000  0.500  0.829

## Properties
Energy relative to the elements, uncorrected   -0.90 eV/atom
SG   P4/nmm (129)
Total magnetization   0.00 μB/f.u.


# 5
Density functional theory data (PBE) for TiBe3Pd after structural relaxation.

abc: 4.112 4.112 4.112
angles: 90.00 90.00 90.00
Fractional positions:
Pd  0.000  0.000  0.000
Be  0.000  0.000  0.500
Ti  0.500  0.500  0.500
Be  0.500  0.000  0.000
Be  0.000  0.500  0.000

## Properties
E_form   0.2892 eV per atom
SG   Pm-3m (221)
Total magnetization   0.00 μB/f.u.


# 6
Density functional theory data (PBE) for TaCoPd after structural relaxation.

abc: 6.775 3.082 9.074
angles: 90.00 111.48 90.00
Site moments in Bohr magnetons follow the coordinates.
Fractional positions:
Ta  0.268  0.500  0.992  -0.06
Co  0.451  0.500  0.347  0.41
Pd  0.104  0.500  0.668  -0.01
Co  0.549  0.500  0.653  0.41
Pd  0.896  0.000  0.832  -0.01
Ta  0.732  0.500  0.008  -0.06
Co  0.451  0.000  0.847  0.41
Ta  0.732  0.000  0.508  -0.06
Co  0.549  0.000  0.153  0.41
Pd  0.896  0.500  0.332  -0.01
Ta  0.268  0.000  0.492  -0.06
Pd  0.104  0.000  0.168  -0.01

## Properties
E_form   -0.2873 eV per atom
SG   C2/m (12)
Total magnetization   0.33 μB/f.u.


# 7
Density functional theory data (PBE) for TaPtSe2N after structural relaxation.

abc: 5.161 5.161 3.641
angles: 90.00 90.00 90.00
Site moments in Bohr magnetons follow the coordinates.
Fractional positions:
N  0.000  0.000  0.500  -0.02
Se  0.500  0.000  0.000  -0.08
Ta  0.500  0.500  0.500  1.55
Se  0.000  0.500  0.000  -0.08
Pt  0.000  0.000  0.000  0.01

## Properties
Energy relative to the elements, uncorrected   0.87 eV/atom
SG   P4/mmm (123)
Total magnetization   2.04 μB/f.u.


# 8
Density functional theory data (PBE) for AcPaHO5 after structural relaxation.

abc: 6.459 6.459 8.644
angles: 108.91 108.91 106.67
Fractional positions:
Pa  0.000  0.000  0.500
O  0.292  0.352  0.652
O  0.292  0.902  0.545
O  0.957  0.043  0.750
Ac  0.302  0.698  0.250
O  0.352  0.292  0.152
O  0.043  0.957  0.250
O  0.648  0.708  0.848
Pa  0.000  0.000  0.000
O  0.708  0.098  0.455
O  0.098  0.708  0.955
H  0.558  0.442  0.250
H  0.442  0.558  0.750
Ac  0.698  0.302  0.750
O  0.708  0.648  0.348
O  0.902  0.292  0.045

## Properties
SG   C2/c (15)
Total magnetization   0.00 μB/f.u.
Raw total energy   -7.866 eV/atom